# 1
This record from OQMD via LeMat-Bulk describes LiCo5 after structural relaxation. The functional is GGA-PBE.

Lattice parameters (Å, degrees): 4.6779 4.6779 3.9821 90.00 90.00 120.00
Fractional positions:
Co 0.6667 0.3333 0.0000
Co 0.3333 0.6667 0.0000
Co 0.5000 0.0000 0.5000
Co 0.0000 0.5000 0.5000
Co 0.5000 0.5000 0.5000
Li 0.0000 0.0000 0.0000

Values from the calculation:
ρ in g/cm³: 6.64
Space-group type: P6/mmm, No. 191
Total moment in μB/cell: 8.43
V in Å³/atom: 12.58
DFT total energy in eV/cell: -36.052

# 2
This record from OQMD via LeMat-Bulk describes Na4ZnCdSn2 after structural relaxation. The functional is GGA-PBE.

Lattice parameters (Å, degrees): 4.8965 4.8965 10.0910 90.00 90.00 120.00
Fractional positions:
Cd 0.0000 0.0000 0.0000
Na 0.6667 0.3333 0.1679
Na 0.3333 0.6667 0.3342
Na 0.3333 0.6667 0.6658
Na 0.6667 0.3333 0.8321
Sn 0.3333 0.6667 0.0000
Sn 0.6667 0.3333 0.5000
Zn 0.0000 0.0000 0.5000

Values from the calculation:
ρ in g/cm³: 4.02
Space-group type: P-6m2, No. 187
V in Å³/atom: 26.19
ΔE to the lowest computed polymorph in meV per atom: 0
DFT total energy in eV/cell: -16.949

# 3
This record from OQMD via LeMat-Bulk describes LuBeCu2 after structural relaxation. The functional is GGA-PBE.

Lattice parameters (Å, degrees): 4.3421 4.3421 4.3421 60.00 60.00 60.00
Fractional positions:
Be 0.5000 0.5000 0.5000
Cu 0.0000 0.0000 0.0000
Cu 0.7500 0.7500 0.7500
Lu 0.2500 0.2500 0.2500

Values from the calculation:
ρ in g/cm³: 8.92
Space-group type: F-43m, No. 216
Total moment in μB/cell: 0.00
V in Å³/atom: 14.47
DFT total energy in eV/cell: -15.598

# 4
This record from OQMD via LeMat-Bulk describes SrLaAgS3 after structural relaxation. The functional is GGA-PBE.

Lattice parameters (Å, degrees): 7.6706 4.1536 9.9030 90.00 103.82 90.00
Fractional positions:
Ag 0.3998 0.7500 0.4136
Ag 0.6002 0.2500 0.5864
La 0.2124 0.2500 0.1491
La 0.7876 0.7500 0.8509
S 0.9445 0.7500 0.1456
S 0.4758 0.7500 0.1778
S 0.2136 0.2500 0.4534
S 0.7864 0.7500 0.5466
S 0.5242 0.2500 0.8222
S 0.0555 0.2500 0.8544
Sr 0.7783 0.2500 0.3065
Sr 0.2217 0.7500 0.6935

Values from the calculation:
ρ in g/cm³: 4.67
Space-group type: P2_1/m, No. 11
Total moment in μB/cell: 0.00
V in Å³/atom: 25.53
DFT total energy in eV/cell: -63.081

# 5
This record from OQMD via LeMat-Bulk describes TmMgGa2Ir4 after structural relaxation. The functional is GGA-PBE.

Lattice parameters (Å, degrees): 4.4259 4.4259 6.3364 90.00 90.00 90.00
Fractional positions:
Ga 0.5000 0.5000 0.0000
Ga 0.0000 0.0000 0.5000
Ir 0.5000 0.0000 0.2356
Ir 0.0000 0.5000 0.2356
Ir 0.5000 0.0000 0.7644
Ir 0.0000 0.5000 0.7644
Mg 0.0000 0.0000 0.0000
Tm 0.5000 0.5000 0.5000

Values from the calculation:
ρ in g/cm³: 14.74
Space-group type: P4/mmm, No. 123
Total moment in μB/cell: 0.00
V in Å³/atom: 15.52
DFT total energy in eV/cell: -51.943

# 6
This record from OQMD via LeMat-Bulk describes BeNbPd after structural relaxation. The functional is GGA-PBE.

Lattice parameters (Å, degrees): 4.1874 4.1874 4.1874 60.00 60.00 60.00
Fractional positions:
Be 0.2500 0.2500 0.2500
Nb 0.0000 0.0000 0.0000
Pd 0.7500 0.7500 0.7500

Values from the calculation:
ρ in g/cm³: 6.66
Space-group type: F-43m, No. 216
Total moment in μB/cell: 0.02
V in Å³/atom: 17.31
ΔE to the lowest computed polymorph in meV per atom: 446
DFT total energy in eV/cell: -17.176

# 7
This record from OQMD via LeMat-Bulk describes Ag2Se after structural relaxation. The functional is GGA-PBE.

Lattice parameters (Å, degrees): 5.6291 5.6291 5.6291 90.00 90.00 90.00
Fractional positions:
Ag 0.2500 0.2500 0.2500
Ag 0.7500 0.7500 0.2500
Ag 0.7500 0.2500 0.7500
Ag 0.2500 0.7500 0.7500
Se 0.0000 0.0000 0.0000
Se 0.5000 0.5000 0.5000

Values from the calculation:
ρ in g/cm³: 5.49
Space-group type: Pn-3m, No. 224
V in Å³/atom: 29.73
DFT total energy in eV/cell: -18.303

# 8
This record from OQMD via LeMat-Bulk describes LaTcGe2Au after structural relaxation. The functional is GGA-PBE.

Lattice parameters (Å, degrees): 6.2982 6.2982 6.2982 140.52 140.52 57.06
Fractional positions:
Au 0.0000 0.0000 0.0000
Ge 0.6289 0.1289 0.5000
Ge 0.8711 0.3711 0.5000
La 0.2500 0.7500 0.5000
Tc 0.5000 0.5000 0.0000

Values from the calculation:
ρ in g/cm³: 9.60
Space-group type: I-4m2, No. 119
Total moment in μB/cell: 0.00
V in Å³/atom: 20.03
DFT total energy in eV/cell: -30.100

# 9
This record from OQMD via LeMat-Bulk describes Ag3BO3 after structural relaxation. The functional is GGA-PBE.

Lattice parameters (Å, degrees): 7.2832 7.2832 7.2832 93.34 86.66 93.34
Fractional positions:
Ag 0.1285 0.3753 0.1182
Ag 0.6285 0.3818 0.1247
Ag 0.6247 0.8818 0.1285
Ag 0.3818 0.1247 0.3715
Ag 0.8818 0.1285 0.3753
Ag 0.8753 0.6285 0.3818
Ag 0.1247 0.3715 0.6182
Ag 0.1182 0.8715 0.6247
Ag 0.6182 0.8753 0.6285
Ag 0.3753 0.1182 0.8715
Ag 0.3715 0.6182 0.8753
Ag 0.8715 0.6247 0.8818
B 0.1240 0.8760 0.1240
B 0.3760 0.6240 0.3760
B 0.6240 0.3760 0.6240
B 0.8760 0.1240 0.8760
O 0.7418 0.1306 0.0179
O 0.9821 0.7418 0.1306
O 0.5179 0.6306 0.2418
O 0.1306 0.0179 0.2582
O 0.2418 0.4821 0.3694
O 0.6306 0.2418 0.4821
O 0.3694 0.7582 0.5179
O 0.7582 0.5179 0.6306
O 0.8694 0.9821 0.7418
O 0.4821 0.3694 0.7582
O 0.0179 0.2582 0.8694
O 0.2582 0.8694 0.9821

Values from the calculation:
ρ in g/cm³: 6.61
Space-group type: R-3c, No. 167
V in Å³/atom: 13.73
DFT total energy in eV/cell: -145.329

# 10
This record from OQMD via LeMat-Bulk describes AgSeO3F after structural relaxation. The functional is GGA-PBE.

Lattice parameters (Å, degrees): 5.8922 5.8922 4.6669 95.42 95.42 82.07
Fractional positions:
Ag 0.7502 0.2498 0.0000
Ag 0.2498 0.7502 0.0000
F 0.7172 0.7172 0.2126
F 0.2828 0.2828 0.7874
O 0.0857 0.0857 0.2817
O 0.5376 0.1771 0.3380
O 0.1771 0.5376 0.3380
O 0.8229 0.4624 0.6620
O 0.4624 0.8229 0.6620
O 0.9143 0.9143 0.7183
Se 0.2684 0.2684 0.3960
Se 0.7316 0.7316 0.6040

Values from the calculation:
ρ in g/cm³: 5.29
Space-group type: C2/m, No. 12
V in Å³/atom: 13.27
DFT total energy in eV/cell: -53.203

# 11
This record from OQMD via LeMat-Bulk describes CoCuSnHg after structural relaxation. The functional is GGA-PBE.

Lattice parameters (Å, degrees): 4.5198 4.5198 4.5198 60.00 60.00 60.00
Fractional positions:
Co 0.7500 0.7500 0.7500
Cu 0.2500 0.2500 0.2500
Hg 0.5000 0.5000 0.5000
Sn 0.0000 0.0000 0.0000

Values from the calculation:
ρ in g/cm³: 11.24
Space-group type: F-43m, No. 216
Total moment in μB/cell: 0.54
V in Å³/atom: 16.32
ΔE to the lowest computed polymorph in meV per atom: 0
DFT total energy in eV/cell: -14.023

# 12
This record from OQMD via LeMat-Bulk describes ZnPbNO after structural relaxation. The functional is GGA-PBE.

Lattice parameters (Å, degrees): 3.8561 3.8561 8.5526 90.00 90.00 90.00
Fractional positions:
N 0.7500 0.7500 0.4124
N 0.2500 0.2500 0.5876
O 0.7500 0.2500 0.0000
O 0.2500 0.7500 0.0000
Pb 0.2500 0.2500 0.1467
Pb 0.7500 0.7500 0.8533
Zn 0.7500 0.2500 0.5000
Zn 0.2500 0.7500 0.5000

Values from the calculation:
ρ in g/cm³: 7.90
Space-group type: P4/nmm, No. 129
V in Å³/atom: 15.90
ΔE to the lowest computed polymorph in meV per atom: 165
DFT total energy in eV/cell: -36.983

# 13
This record from OQMD via LeMat-Bulk describes LiZr2O6 after structural relaxation. The functional is GGA-PBE.

Lattice parameters (Å, degrees): 5.6607 5.6607 5.0240 107.28 107.28 115.92
Fractional positions:
Li 0.0000 0.0000 0.5000
O 0.1926 0.1926 0.2589
O 0.9960 0.6348 0.2606
O 0.6348 0.9960 0.2606
O 0.3652 0.0040 0.7394
O 0.0040 0.3652 0.7394
O 0.8074 0.8074 0.7411
Zr 0.8187 0.1813 0.0000
Zr 0.1813 0.8187 0.0000

Values from the calculation:
ρ in g/cm³: 3.95
Space-group type: C2/m, No. 12
Total moment in μB/cell: 1.88
V in Å³/atom: 13.33
ΔE to the lowest computed polymorph in meV per atom: 215
DFT total energy in eV/cell: -67.084

# 14
This record from OQMD via LeMat-Bulk describes LaPu after structural relaxation. The functional is GGA-PBE.

Lattice parameters (Å, degrees): 3.5724 3.5725 5.7782 90.00 90.00 120.00
Fractional positions:
La 0.6667 0.3333 0.7500
Pu 0.3333 0.6667 0.2500

Values from the calculation:
Energy relative to the elements in eV/atom: 0.13
ρ in g/cm³: 9.96
Space-group type: P-6m2, No. 187
Total moment in μB/cell: 6.59
V in Å³/atom: 31.93
ΔE to the lowest computed polymorph in meV per atom: 0
DFT total energy in eV/cell: -18.787

# 15
This record from OQMD via LeMat-Bulk describes TbSiGePd2 after structural relaxation. The functional is GGA-PBE.

Lattice parameters (Å, degrees): 5.8564 5.8564 5.8564 137.73 137.73 61.32
Fractional positions:
Ge 0.6138 0.6138 0.0000
Pd 0.7550 0.2550 0.5000
Pd 0.2550 0.7550 0.5000
Si 0.3772 0.3772 0.0000
Tb 0.9990 0.9990 0.0000

Values from the calculation:
ρ in g/cm³: 8.73
Space-group type: I4mm, No. 107
Total moment in μB/cell: 0.00
V in Å³/atom: 17.97
ΔE to the lowest computed polymorph in meV per atom: 0
DFT total energy in eV/cell: -29.435

# 16
This record from OQMD via LeMat-Bulk describes BaBi2PtAu after structural relaxation. The functional is GGA-PBE.

Lattice parameters (Å, degrees): 5.0704 4.9602 11.2195 90.00 91.75 90.00
Fractional positions:
Au 0.1900 0.2500 0.0006
Au 0.8100 0.7500 0.9994
Ba 0.2278 0.7500 0.2476
Ba 0.7722 0.2500 0.7524
Bi 0.6982 0.2500 0.1349
Bi 0.2522 0.2500 0.4985
Bi 0.7478 0.7500 0.5015
Bi 0.3018 0.7500 0.8651
Pt 0.7455 0.2500 0.3809
Pt 0.2545 0.7500 0.6191

Values from the calculation:
ρ in g/cm³: 11.15
Space-group type: P2_1/m, No. 11
Total moment in μB/cell: 0.00
V in Å³/atom: 28.20
ΔE to the lowest computed polymorph in meV per atom: 0
DFT total energy in eV/cell: -44.695

# 17
This record from OQMD via LeMat-Bulk describes Y4AlCdN2 after structural relaxation. The functional is GGA-PBE.

Lattice parameters (Å, degrees): 3.4977 3.4977 15.6365 90.00 90.00 120.00
Fractional positions:
Al 0.0000 0.0000 0.0000
Cd 0.3333 0.6667 0.5000
N 0.6667 0.3333 0.2466
N 0.6667 0.3333 0.7534
Y 0.3333 0.6667 0.1594
Y 0.0000 0.0000 0.3326
Y 0.0000 0.0000 0.6674
Y 0.3333 0.6667 0.8406

Values from the calculation:
ρ in g/cm³: 5.24
Space-group type: P-6m2, No. 187
Total moment in μB/cell: 0.41
V in Å³/atom: 20.71
DFT total energy in eV/cell: -54.469

# 18
This record from OQMD via LeMat-Bulk describes Pr2NdPt3Pb3 after structural relaxation. The functional is GGA-PBE.

Lattice parameters (Å, degrees): 4.1489 7.8465 7.8465 119.96 90.00 90.00
Fractional positions:
Nd 0.0000 0.5927 0.5927
Pb 0.5000 0.2570 0.2570
Pb 0.5000 0.9997 0.7430
Pb 0.5000 0.7430 0.9997
Pr 0.0000 0.4078 0.0000
Pr 0.0000 0.0000 0.4078
Pt 0.5000 0.6662 0.3346
Pt 0.5000 0.3346 0.6662
Pt 0.0000 0.9989 0.9989

Values from the calculation:
ρ in g/cm³: 12.25
Space-group type: Amm2, No. 38
Total moment in μB/cell: 0.00
V in Å³/atom: 24.59
DFT total energy in eV/cell: -51.082

# 19
This record from OQMD via LeMat-Bulk describes Dy2Tm5Ni2Te2 after structural relaxation. The functional is GGA-PBE.

Lattice parameters (Å, degrees): 9.2787 9.2787 9.2787 156.23 67.11 118.28
Fractional positions:
Dy 0.2378 0.1047 0.1330
Dy 0.9717 0.1047 0.8670
Ni 0.8317 0.5953 0.2364
Ni 0.3589 0.5953 0.7636
Te 0.8572 0.8572 0.0000
Te 0.2611 0.7611 0.5000
Tm 0.5244 0.5244 0.0000
Tm 0.2185 0.9033 0.3151
Tm 0.6047 0.2522 0.3525
Tm 0.8997 0.2522 0.6475
Tm 0.5882 0.9033 0.6849

Values from the calculation:
ρ in g/cm³: 9.11
Space-group type: Imm2, No. 44
Total moment in μB/cell: 0.01
V in Å³/atom: 25.57
ΔE to the lowest computed polymorph in meV per atom: 2
DFT total energy in eV/cell: -56.435

# 20
This record from OQMD via LeMat-Bulk describes Er3Lu4Pd2S2 after structural relaxation. The functional is GGA-PBE.

Lattice parameters (Å, degrees): 8.8890 8.8890 8.8890 155.38 67.49 118.28
Fractional positions:
Er 0.3893 0.2571 0.1321
Er 0.5175 0.0175 0.5000
Er 0.1250 0.2571 0.8679
Lu 0.8106 0.6296 0.1809
Lu 0.7998 0.4168 0.3829
Lu 0.0339 0.4168 0.6171
Lu 0.4487 0.6296 0.8191
Pd 0.1888 0.9301 0.2587
Pd 0.6714 0.9301 0.7413
S 0.7665 0.7665 0.0000
S 0.1620 0.6620 0.5000

Values from the calculation:
ρ in g/cm³: 9.61
Space-group type: Imm2, No. 44
Total moment in μB/cell: 0.02
V in Å³/atom: 23.23
DFT total energy in eV/cell: -61.647

# 21
This record from OQMD via LeMat-Bulk describes Cu2Ag3 after structural relaxation. The functional is GGA-PBE.

Lattice parameters (Å, degrees): 10.0227 10.0227 3.9703 90.00 90.00 157.13
Fractional positions:
Ag 0.9441 0.0559 0.2500
Ag 0.5561 0.4439 0.2500
Ag 0.1608 0.8392 0.2500
Ag 0.8392 0.1608 0.7500
Ag 0.4439 0.5561 0.7500
Ag 0.0559 0.9441 0.7500
Cu 0.7500 0.2500 0.2500
Cu 0.3366 0.6634 0.2500
Cu 0.6634 0.3366 0.7500
Cu 0.2500 0.7500 0.7500

Values from the calculation:
Energy relative to the elements in eV/atom: 0.07
ρ in g/cm³: 9.66
Space-group type: Cmcm, No. 63
V in Å³/atom: 15.50
ΔE to the lowest computed polymorph in meV per atom: 40
DFT total energy in eV/cell: -31.090

# 22
This record from OQMD via LeMat-Bulk describes KRbSm2P2 after structural relaxation. The functional is GGA-PBE.

Lattice parameters (Å, degrees): 5.1071 5.1071 7.7668 90.00 90.00 90.00
Fractional positions:
K 0.0000 0.0000 0.3872
P 0.5000 0.5000 0.1679
P 0.0000 0.0000 0.8283
Rb 0.5000 0.5000 0.6108
Sm 0.5000 0.0000 0.0029
Sm 0.0000 0.5000 0.0029

Values from the calculation:
ρ in g/cm³: 3.99
Space-group type: P4mm, No. 99
Total moment in μB/cell: 0.03
V in Å³/atom: 33.76
DFT total energy in eV/cell: -26.422

# 23
This record from OQMD via LeMat-Bulk describes LiSiSnIr after structural relaxation. The functional is GGA-PBE.

Lattice parameters (Å, degrees): 4.4437 4.4437 4.4437 60.00 60.00 60.00
Fractional positions:
Ir 0.2500 0.2500 0.2500
Li 0.7500 0.7500 0.7500
Si 0.5000 0.5000 0.5000
Sn 0.0000 0.0000 0.0000

Values from the calculation:
ρ in g/cm³: 9.26
Space-group type: F-43m, No. 216
Total moment in μB/cell: 0.00
V in Å³/atom: 15.51
ΔE to the lowest computed polymorph in meV per atom: 0
DFT total energy in eV/cell: -21.215

# 24
This record from OQMD via LeMat-Bulk describes RbAu after structural relaxation. The functional is GGA-PBE.

Lattice parameters (Å, degrees): 7.9029 7.9029 4.2350 90.00 90.00 102.26
Fractional positions:
Au 0.3750 0.6250 0.4988
Au 0.1250 0.8750 0.4988
Au 0.8750 0.1250 0.5012
Au 0.6250 0.3750 0.5012
Rb 0.3750 0.1250 0.0000
Rb 0.1250 0.3750 0.0000
Rb 0.8750 0.6250 0.0000
Rb 0.6250 0.8750 0.0000

Values from the calculation:
ρ in g/cm³: 7.26
Space-group type: Cmme, No. 67
V in Å³/atom: 32.31
DFT total energy in eV/cell: -16.729